[1]
Crystalline HPbIN2 at its relaxed geometry. Source: Alexandria, functional PBEsol.

Summary:
- total energy (eV/atom) = -3.2700
- crystal system = tetragonal

Cell: 4.411 4.411 6.193 Å, 90.00 90.00 90.00°
Positions (direct):
H 0.000 0.000 0.000
Pb 0.500 0.500 0.500
I 0.500 0.500 0.000
N 0.000 0.500 0.500
N 0.500 0.000 0.500

[2]
Crystalline YTcSe2 at its relaxed geometry. Source: Alexandria, functional PBEsol.

Summary:
- total energy (eV/atom) = -7.0301
- crystal system = monoclinic
- E_form (uncorrected) (eV/atom) = -0.5829

Cell: 3.543 3.971 5.587 Å, 90.00 94.57 90.00°
Positions (direct):
Y 0.000 0.000 0.000
Tc 0.500 0.000 0.500
Se 0.352 0.500 0.734
Se 0.648 0.500 0.266

[3]
Crystalline ZnOs at its relaxed geometry. Source: Alexandria, functional PBEsol.

Summary:
- total energy (eV/atom) = -6.8249
- crystal system = trigonal
- formation energy (meV per atom) = 74.0

Cell: 2.737 2.737 8.570 Å, 90.00 90.00 120.00°
Positions (direct):
Zn 0.333 0.667 0.374
Zn 0.667 0.333 0.626
Os 0.333 0.667 0.880
Os 0.667 0.333 0.120

[4]
Crystalline TlCd2GaP at its relaxed geometry. Source: Alexandria, functional PBEsol.

Summary:
- total energy (eV/atom) = -2.1641
- crystal system = tetragonal
- formation energy (meV per atom) = 667.0

Cell: 4.965 4.965 5.334 Å, 90.00 90.00 90.00°
Positions (direct):
Tl 0.000 0.000 0.000
Cd 0.000 0.500 0.500
Cd 0.500 0.000 0.500
Ga 0.000 0.000 0.500
P 0.500 0.500 0.000

[5]
Crystalline PuFe2Si2 at its relaxed geometry. Source: Alexandria, functional PBEsol.

Summary:
- total energy (eV/atom) = -9.3799
- crystal system = tetragonal
- E_form (uncorrected) (eV/atom) = -0.4650

Cell: 5.474 5.474 5.474 Å, 138.43 138.43 60.25°
Positions (direct):
Pu 0.000 0.000 0.000
Fe 0.250 0.750 0.500
Fe 0.750 0.250 0.500
Si 0.369 0.369 0.000
Si 0.631 0.631 0.000

[6]
Crystalline SnMo2H2 at its relaxed geometry. Source: Alexandria, functional PBEsol.

Summary:
- total energy (eV/atom) = -6.8351
- crystal system = tetragonal

Cell: 5.833 5.833 5.833 Å, 148.07 148.07 45.79°
Positions (direct):
Sn 0.000 0.000 0.000
Mo 0.340 0.340 0.000
Mo 0.660 0.660 0.000
H 0.250 0.750 0.500
H 0.750 0.250 0.500

[7]
Crystalline Ca2AsPb at its relaxed geometry. Source: Alexandria, functional PBEsol.

Summary:
- total energy (eV/atom) = -4.0037
- crystal system = monoclinic
- formation energy (meV per atom) = -660.9

Cell: 6.431 6.431 4.848 Å, 110.79 110.79 34.78°
Positions (direct):
Ca 0.000 0.000 0.000
Ca 0.220 0.220 0.698
As 0.718 0.718 0.177
Pb 0.428 0.428 0.434

[8]
Crystalline ThH2 at its relaxed geometry. Source: Alexandria, functional PBEsol.

Summary:
- total energy (eV/atom) = -5.4215
- crystal system = tetragonal

Cell: 3.710 3.710 3.710 Å, 113.59 113.59 101.52°
Positions (direct):
Th 0.000 0.000 0.000
H 0.250 0.750 0.500
H 0.750 0.250 0.500

[9]
Crystalline NdAsSe at its relaxed geometry. Source: Alexandria, functional PBEsol.

Summary:
- total energy (eV/atom) = -6.2011
- crystal system = orthorhombic
- E_form (uncorrected) (eV/atom) = -1.4934

Cell: 3.973 3.973 17.797 Å, 90.00 90.00 89.82°
Positions (direct):
Nd 0.238 0.762 0.861
Nd 0.262 0.738 0.361
Nd 0.738 0.262 0.639
Nd 0.762 0.238 0.139
As 0.224 0.224 0.500
As 0.276 0.276 0.000
As 0.724 0.724 0.000
As 0.776 0.776 0.500
Se 0.240 0.760 0.688
Se 0.260 0.740 0.188
Se 0.740 0.260 0.812
Se 0.760 0.240 0.312

[10]
Crystalline TaSb2P at its relaxed geometry. Source: Alexandria, functional PBEsol.

Summary:
- total energy (eV/atom) = -6.8288
- crystal system = orthorhombic
- E_form (uncorrected) (eV/atom) = 0.0354

Cell: 7.139 7.139 7.139 Å, 150.68 149.62 42.73°
Positions (direct):
Ta 0.000 0.000 0.000
Sb 0.404 0.404 0.000
Sb 0.681 0.181 0.500
P 0.132 0.632 0.500

[11]
Crystalline CdAg2Hg at its relaxed geometry. Source: Alexandria, functional PBEsol.

Summary:
- total energy (eV/atom) = -2.1257
- crystal system = orthorhombic
- formation energy (meV per atom) = -29.1

Cell: 2.979 4.747 5.183 Å, 90.00 90.00 90.00°
Positions (direct):
Cd 0.000 0.000 0.000
Ag 0.500 0.000 0.513
Ag 0.500 0.500 0.842
Hg 0.000 0.500 0.347

[12]
Crystalline Mg2TlFe at its relaxed geometry. Source: Alexandria, functional PBEsol.

Summary:
- total energy (eV/atom) = -3.5495
- crystal system = tetragonal
- formation energy (meV per atom) = 207.5

Cell: 3.047 3.047 8.216 Å, 90.00 90.00 90.00°
Positions (direct):
Mg 0.000 0.000 0.205
Mg 0.000 0.000 0.795
Tl 0.500 0.500 0.500
Fe 0.500 0.500 0.000